An optimized crystal structure of CsPuPbI6. Source: Alexandria via LeMat-Bulk, functional PBE. Values from VASP.

Formation energy without anion corrections (eV/f.u.): -9.4
Calculated volume (Å³/atom): 55.35
SG: No. 5

Quantum ESPRESSO input file:
```
&SYSTEM
  ibrav = 0, nat = 9, ntyp = 4
/
ATOMIC_SPECIES
Cs 132.91 Cs.upf
Pu 244.00 Pu.upf
Pb 207.20 Pb.upf
I 126.90 I.upf
ATOMIC_POSITIONS crystal
Cs 0.000 0.000 0.000
Pu 0.333 0.667 0.500
Pb 0.667 0.333 0.500
I 0.013 0.382 0.281
I 0.014 0.632 0.719
I 0.368 0.986 0.281
I 0.369 0.382 0.719
I 0.618 0.631 0.281
I 0.618 0.987 0.719
CELL_PARAMETERS angstrom
4.111 -7.125 0.000
4.111 7.125 0.000
-0.008 0.000 8.503
```